(1)
VASP calculation (PBE-GGA) on Tb7Ho2Tm after structural relaxation.

POSCAR file:
```
Tb7Ho2Tm
1.0
-2.709 3.494 8.339
2.709 -3.494 8.339
2.709 3.494 -8.339
Tb Ho Tm
7 2 1
direct
0.000 0.000 0.000 Tb
0.141 0.391 0.750 Tb
0.301 0.801 0.500 Tb
0.359 0.609 0.750 Tb
0.641 0.391 0.250 Tb
0.699 0.199 0.500 Tb
0.859 0.609 0.250 Tb
0.200 0.200 0.000 Ho
0.800 0.800 0.000 Ho
0.500 0.000 0.500 Tm
```

- ρ (g cm⁻³) = 8.47

=====

(2)
VASP calculation (PBE-GGA) on Tb7Ho2Tm after structural relaxation.

POSCAR file:
```
Tb7Ho2Tm
1.0
4.334 -8.488 0.000
4.334 8.488 0.000
0.000 0.000 5.236
Tb Ho Tm
7 2 1
direct
0.000 0.000 0.000 Tb
0.212 0.430 0.000 Tb
0.301 0.699 0.500 Tb
0.430 0.212 0.000 Tb
0.570 0.788 0.000 Tb
0.699 0.301 0.500 Tb
0.788 0.570 0.000 Tb
0.202 0.798 0.000 Ho
0.798 0.202 0.000 Ho
0.500 0.500 0.500 Tm
```

- ρ (g cm⁻³) = 6.94

=====

Which structure loses on stability? (2) does.

=====

(1)
VASP calculation (PBE-GGA) on TbHoTm2 after structural relaxation.

POSCAR file:
```
TbHoTm2
1.0
1.769 1.021 11.299
-1.769 1.021 11.299
0.000 -2.042 11.299
Tb Ho Tm
1 1 2
direct
0.000 0.000 0.000 Tb
0.166 0.166 0.166 Ho
0.417 0.417 0.417 Tm
0.582 0.582 0.582 Tm
```

- ρ (g cm⁻³) = 8.97

=====

(2)
VASP calculation (PBE-GGA) on TbHoTm2 after structural relaxation.

POSCAR file:
```
TbHoTm2
1.0
6.879 0.000 0.000
0.000 6.865 0.000
-0.006 0.000 10.836
Tb Ho Tm
4 4 8
direct
0.126 0.125 0.387 Tb
0.126 0.875 0.887 Tb
0.874 0.125 0.113 Tb
0.874 0.875 0.613 Tb
0.375 0.375 0.613 Ho
0.375 0.625 0.113 Ho
0.625 0.375 0.887 Ho
0.625 0.625 0.387 Ho
0.125 0.376 0.888 Tm
0.125 0.624 0.388 Tm
0.375 0.125 0.112 Tm
0.375 0.875 0.612 Tm
0.625 0.125 0.388 Tm
0.625 0.875 0.888 Tm
0.875 0.376 0.612 Tm
0.875 0.624 0.112 Tm
```

- ρ (g cm⁻³) = 8.59

=====

Which structure loses on stability? (2) does.

=====

(1)
VASP calculation (PBE-GGA) on Tb3Ho2Tm4 after structural relaxation.

POSCAR file:
```
Tb3Ho2Tm4
1.0
8.077 -5.712 0.000
8.077 5.712 0.000
-0.662 0.000 5.988
Tb Ho Tm
6 4 8
direct
0.098 0.902 0.750 Tb
0.236 0.432 0.912 Tb
0.432 0.236 0.412 Tb
0.568 0.764 0.588 Tb
0.764 0.568 0.088 Tb
0.902 0.098 0.250 Tb
0.019 0.738 0.180 Ho
0.262 0.981 0.320 Ho
0.738 0.019 0.680 Ho
0.981 0.262 0.820 Ho
0.075 0.354 0.348 Tm
0.314 0.594 0.485 Tm
0.354 0.075 0.848 Tm
0.406 0.686 0.015 Tm
0.594 0.314 0.985 Tm
0.646 0.925 0.152 Tm
0.686 0.406 0.515 Tm
0.925 0.646 0.652 Tm
```

- ρ (g cm⁻³) = 8.91

=====

(2)
VASP calculation (PBE-GGA) on Tb3Ho2Tm4 after structural relaxation.

POSCAR file:
```
Tb3Ho2Tm4
1.0
5.655 -2.799 0.000
5.655 2.799 0.000
-2.116 0.000 8.884
Tb Ho Tm
3 2 4
direct
0.000 0.000 0.000 Tb
0.109 0.109 0.687 Tb
0.891 0.891 0.313 Tb
0.429 0.429 0.717 Ho
0.571 0.571 0.283 Ho
0.234 0.234 0.372 Tm
0.319 0.319 0.040 Tm
0.681 0.681 0.960 Tm
0.766 0.766 0.628 Tm
```

- ρ (g cm⁻³) = 8.75

=====

Which structure loses on stability? (2) does.

=====

(1)
VASP calculation (PBE-GGA) on Tb2Ho3Tm7 after structural relaxation.

POSCAR file:
```
Tb2Ho3Tm7
1.0
6.232 0.000 0.000
0.000 3.469 0.000
-1.869 0.000 17.067
Tb Ho Tm
2 3 7
direct
0.062 0.000 0.174 Tb
0.938 0.000 0.826 Tb
0.449 0.500 0.843 Ho
0.500 0.000 0.500 Ho
0.551 0.500 0.157 Ho
0.000 0.500 0.500 Tm
0.225 0.000 0.667 Tm
0.255 0.000 0.999 Tm
0.275 0.500 0.335 Tm
0.725 0.500 0.665 Tm
0.745 0.000 0.001 Tm
0.775 0.000 0.333 Tm
```

- ρ (g cm⁻³) = 8.98

=====

(2)
VASP calculation (PBE-GGA) on Tb2Ho3Tm7 after structural relaxation.

POSCAR file:
```
Tb2Ho3Tm7
1.0
2.867 -18.433 0.000
2.867 18.433 0.000
0.000 0.000 3.546
Tb Ho Tm
2 3 7
direct
0.175 0.825 0.000 Tb
0.825 0.175 0.000 Tb
0.351 0.649 0.500 Ho
0.500 0.500 0.500 Ho
0.649 0.351 0.500 Ho
0.000 0.000 0.000 Tm
0.089 0.911 0.500 Tm
0.271 0.729 0.000 Tm
0.428 0.572 0.000 Tm
0.572 0.428 0.000 Tm
0.729 0.271 0.000 Tm
0.911 0.089 0.500 Tm
```

- ρ (g cm⁻³) = 8.84

=====

Which structure loses on stability? (2) does.

=====

(1)
VASP calculation (PBE-GGA) on Tb4HoTm after structural relaxation.

POSCAR file:
```
Tb4HoTm
1.0
3.528 0.000 0.000
1.747 5.869 0.000
1.745 1.622 9.047
Tb Ho Tm
4 1 1
direct
0.166 0.000 0.167 Tb
0.166 0.501 0.666 Tb
0.834 0.000 0.833 Tb
0.834 0.499 0.334 Tb
0.500 0.500 0.000 Ho
0.500 0.000 0.500 Tm
```

- ρ (g cm⁻³) = 8.59

=====

(2)
VASP calculation (PBE-GGA) on Tb4HoTm after structural relaxation.

POSCAR file:
```
Tb4HoTm
1.0
-2.829 11.042 3.040
2.829 -11.042 3.040
2.829 11.042 -3.040
Tb Ho Tm
8 2 2
direct
0.093 0.425 0.669 Tb
0.150 0.062 0.088 Tb
0.256 0.425 0.831 Tb
0.473 0.062 0.412 Tb
0.527 0.938 0.588 Tb
0.744 0.575 0.169 Tb
0.850 0.938 0.912 Tb
0.907 0.575 0.331 Tb
0.000 0.500 0.500 Ho
0.500 0.500 0.000 Ho
0.329 0.079 0.250 Tm
0.671 0.921 0.750 Tm
```

- ρ (g cm⁻³) = 8.48

=====

Which structure loses on stability? (2) does.

=====

(1)
VASP calculation (PBE-GGA) on Tb7HoTm2 after structural relaxation.

POSCAR file:
```
Tb7HoTm2
1.0
-2.707 3.491 8.328
2.707 -3.491 8.328
2.707 3.491 -8.328
Tb Ho Tm
7 1 2
direct
0.000 0.000 0.000 Tb
0.140 0.390 0.750 Tb
0.301 0.801 0.500 Tb
0.359 0.610 0.750 Tb
0.641 0.390 0.250 Tb
0.699 0.199 0.500 Tb
0.860 0.610 0.250 Tb
0.500 0.000 0.500 Ho
0.199 0.199 0.000 Tm
0.801 0.801 0.000 Tm
```

- ρ (g cm⁻³) = 8.52

=====

(2)
VASP calculation (PBE-GGA) on Tb7HoTm2 after structural relaxation.

POSCAR file:
```
Tb7HoTm2
1.0
4.345 -8.316 0.000
4.345 8.316 0.000
0.000 0.000 5.358
Tb Ho Tm
7 1 2
direct
0.000 0.000 0.000 Tb
0.210 0.433 0.000 Tb
0.296 0.704 0.500 Tb
0.433 0.210 0.000 Tb
0.567 0.790 0.000 Tb
0.704 0.296 0.500 Tb
0.790 0.567 0.000 Tb
0.500 0.500 0.500 Ho
0.203 0.797 0.000 Tm
0.797 0.203 0.000 Tm
```

- ρ (g cm⁻³) = 6.93

=====

Which structure loses on stability? (2) does.

=====

(1)
VASP calculation (PBE-GGA) on Tb5Ho3Tm after structural relaxation.

POSCAR file:
```
Tb5Ho3Tm
1.0
7.516 -5.705 0.000
7.516 5.705 0.000
-6.291 0.000 7.516
Tb Ho Tm
10 6 2
direct
0.098 0.602 0.254 Tb
0.225 0.225 0.235 Tb
0.244 0.756 0.000 Tb
0.278 0.278 0.960 Tb
0.398 0.902 0.746 Tb
0.602 0.098 0.254 Tb
0.722 0.722 0.040 Tb
0.756 0.244 0.000 Tb
0.775 0.775 0.765 Tb
0.902 0.398 0.746 Tb
0.000 0.000 0.500 Ho
0.010 0.010 0.820 Ho
0.481 0.481 0.642 Ho
0.500 0.500 0.000 Ho
0.519 0.519 0.358 Ho
0.990 0.990 0.180 Ho
0.248 0.248 0.599 Tm
0.752 0.752 0.401 Tm
```

- ρ (g cm⁻³) = 7.51

=====

(2)
VASP calculation (PBE-GGA) on Tb5Ho3Tm after structural relaxation.

POSCAR file:
```
Tb5Ho3Tm
1.0
8.102 -3.317 0.000
8.102 3.317 0.000
-3.535 0.000 10.711
Tb Ho Tm
10 6 2
direct
0.056 0.295 0.876 Tb
0.139 0.386 0.647 Tb
0.227 0.773 0.750 Tb
0.295 0.056 0.376 Tb
0.386 0.139 0.147 Tb
0.614 0.861 0.853 Tb
0.705 0.944 0.624 Tb
0.773 0.227 0.250 Tb
0.861 0.614 0.353 Tb
0.944 0.705 0.124 Tb
0.000 0.000 0.000 Ho
0.000 0.000 0.500 Ho
0.386 0.400 0.455 Ho
0.400 0.386 0.955 Ho
0.600 0.614 0.045 Ho
0.614 0.600 0.545 Ho
0.316 0.684 0.250 Tm
0.684 0.316 0.750 Tm
```

- ρ (g cm⁻³) = 8.41

=====

Which structure loses on stability? (1) does.

=====

(1)
VASP calculation (PBE-GGA) on Tb6Ho12Tm after structural relaxation.

POSCAR file:
```
Tb6Ho12Tm
1.0
7.445 4.298 3.391
-7.445 4.298 3.391
0.000 -8.597 3.391
Tb Ho Tm
6 12 1
direct
0.292 0.681 0.681 Tb
0.319 0.319 0.708 Tb
0.319 0.708 0.319 Tb
0.681 0.292 0.681 Tb
0.681 0.681 0.292 Tb
0.708 0.319 0.319 Tb
0.093 0.327 0.327 Ho
0.112 0.500 0.888 Ho
0.112 0.888 0.500 Ho
0.327 0.093 0.327 Ho
0.327 0.327 0.093 Ho
0.500 0.112 0.888 Ho
0.500 0.888 0.112 Ho
0.673 0.673 0.907 Ho
0.673 0.907 0.673 Ho
0.888 0.112 0.500 Ho
0.888 0.500 0.112 Ho
0.907 0.673 0.673 Ho
0.000 0.000 0.000 Tm
```

- ρ (g cm⁻³) = 7.91

=====

(2)
VASP calculation (PBE-GGA) on Tb6Ho12Tm after structural relaxation.

POSCAR file:
```
Tb6Ho12Tm
1.0
5.900 3.406 5.024
-5.900 3.406 5.024
0.000 -6.813 5.024
Tb Ho Tm
6 12 1
direct
0.190 0.756 0.591 Tb
0.244 0.409 0.810 Tb
0.409 0.810 0.244 Tb
0.591 0.190 0.756 Tb
0.756 0.591 0.190 Tb
0.810 0.244 0.409 Tb
0.043 0.937 0.274 Ho
0.063 0.726 0.957 Ho
0.145 0.489 0.293 Ho
0.274 0.043 0.937 Ho
0.293 0.145 0.489 Ho
0.489 0.293 0.145 Ho
0.511 0.707 0.855 Ho
0.707 0.855 0.511 Ho
0.726 0.957 0.063 Ho
0.855 0.511 0.707 Ho
0.937 0.274 0.043 Ho
0.957 0.063 0.726 Ho
0.500 0.500 0.500 Tm
```

- ρ (g cm⁻³) = 8.50

=====

Which structure loses on stability? (1) does.